[1]
Crystalline NaSr5Li2 at its relaxed geometry. Source: Alexandria, functional PBE.

**Theoretical density**: 2.215 g/cm³

Cell and atoms, written as CIF:
```
data_NaSr5Li2
_chemical_formula_sum 'Na4 Sr20 Li8'
_cell_length_a 9.186
_cell_length_b 9.186
_cell_length_c 16.880
_cell_angle_alpha 90.00
_cell_angle_beta 90.00
_cell_angle_gamma 90.00
_space_group_name_H-M_alt 'I 4/m c m'
_space_group_IT_number 140
_space_group_name_Hall '-I 4 2c'
loop_
_atom_site_label
_atom_site_type_symbol
_atom_site_fract_x
_atom_site_fract_y
_atom_site_fract_z
Na1 Na 0.000 0.000 0.250
Sr1 Sr 0.000 0.000 0.000
Sr2 Sr 0.163 0.337 0.145
Li1 Li 0.122 0.378 0.500
```

***

[2]
Crystalline Na2SrLi at its relaxed geometry. Source: Alexandria, functional PBE.

**Theoretical density**: 1.481 g/cm³
**Energy above the lowest structure with this stoichiometry**: 119.5 meV/atom

Cell and atoms, written as CIF:
```
data_Na2SrLi
_chemical_formula_sum 'Na8 Sr4 Li4'
_cell_length_a 4.926
_cell_length_b 4.926
_cell_length_c 25.977
_cell_angle_alpha 90.00
_cell_angle_beta 90.00
_cell_angle_gamma 90.00
_space_group_name_H-M_alt 'I -4 2 d'
_space_group_IT_number 122
_space_group_name_Hall 'I -4 2bw'
loop_
_atom_site_label
_atom_site_type_symbol
_atom_site_fract_x
_atom_site_fract_y
_atom_site_fract_z
Na1 Na 0.216 0.250 0.125
Sr1 Sr 0.000 0.000 0.500
Li1 Li 0.000 0.000 0.000
```

***

[3]
Crystalline Na5Sr2Li4 at its relaxed geometry. Source: Alexandria, functional PBE.

**Theoretical density**: 1.388 g/cm³

Cell and atoms, written as CIF:
```
data_Na5Sr2Li4
_chemical_formula_sum 'Na10 Sr4 Li8'
_cell_length_a 15.030
_cell_length_b 6.739
_cell_length_c 10.085
_cell_angle_alpha 90.00
_cell_angle_beta 131.85
_cell_angle_gamma 90.00
_space_group_name_H-M_alt 'C 1 2/m 1'
_space_group_IT_number 12
loop_
_space_group_symop_operation_xyz
'x,y,z'
'-x,-y,-z'
'-x,y,-z'
'x,-y,z'
'x+1/2,y+1/2,z'
'-x+1/2,-y+1/2,-z'
'-x+1/2,y+1/2,-z'
'x+1/2,-y+1/2,z'
loop_
_atom_site_label
_atom_site_type_symbol
_atom_site_fract_x
_atom_site_fract_y
_atom_site_fract_z
Na1 Na 0.000 0.000 0.000
Na2 Na 0.000 0.250 0.319
Sr1 Sr 0.197 0.500 0.198
Li1 Li 0.243 0.000 0.084
Li2 Li 0.244 0.000 0.400
```

***

[4]
Crystalline Na2SrLi at its relaxed geometry. Source: Alexandria, functional PBE.

**Theoretical density**: 1.551 g/cm³
**Energy above the lowest structure with this stoichiometry**: 61.3 meV/atom

Cell and atoms, written as CIF:
```
data_Na2SrLi
_chemical_formula_sum 'Na8 Sr4 Li4'
_cell_length_a 8.444
_cell_length_b 8.444
_cell_length_c 8.444
_cell_angle_alpha 90.00
_cell_angle_beta 90.00
_cell_angle_gamma 90.00
_space_group_name_H-M_alt 'F m -3 m'
_space_group_IT_number 225
_space_group_name_Hall '-F 4 2 3'
loop_
_atom_site_label
_atom_site_type_symbol
_atom_site_fract_x
_atom_site_fract_y
_atom_site_fract_z
Na1 Na 0.250 0.250 0.250
Sr1 Sr 0.000 0.000 0.000
Li1 Li 0.000 0.000 0.500
```

***

[5]
Crystalline NaSr2Li2 at its relaxed geometry. Source: Alexandria, functional PBE.

**Theoretical density**: 1.848 g/cm³
**Energy above the lowest structure with this stoichiometry**: 56.0 meV/atom

Cell and atoms, written as CIF:
```
data_NaSr2Li2
_chemical_formula_sum 'Na2 Sr4 Li4'
_cell_length_a 4.107
_cell_length_b 4.107
_cell_length_c 22.591
_cell_angle_alpha 90.00
_cell_angle_beta 90.00
_cell_angle_gamma 90.00
_space_group_name_H-M_alt 'I 4/m m m'
_space_group_IT_number 139
_space_group_name_Hall '-I 4 2'
loop_
_atom_site_label
_atom_site_type_symbol
_atom_site_fract_x
_atom_site_fract_y
_atom_site_fract_z
Na1 Na 0.000 0.000 0.000
Sr1 Sr 0.000 0.000 0.382
Li1 Li 0.000 0.500 0.250
```

***

[6]
Crystalline Na3Sr6Li at its relaxed geometry. Source: Alexandria, functional PBE.

**Theoretical density**: 2.153 g/cm³
**Energy above the lowest structure with this stoichiometry**: 0.0 meV/atom

Cell and atoms, written as CIF:
```
data_Na3Sr6Li
_chemical_formula_sum 'Na6 Sr12 Li2'
_cell_length_a 11.084
_cell_length_b 6.388
_cell_length_c 13.603
_cell_angle_alpha 90.00
_cell_angle_beta 105.57
_cell_angle_gamma 90.00
_space_group_name_H-M_alt 'P 1 21/m 1'
_space_group_IT_number 11
loop_
_space_group_symop_operation_xyz
'x,y,z'
'-x,-y,-z'
'-x,y+1/2,-z'
'x,-y+1/2,z'
loop_
_atom_site_label
_atom_site_type_symbol
_atom_site_fract_x
_atom_site_fract_y
_atom_site_fract_z
Na1 Na 0.038 0.250 0.394
Na2 Na 0.138 0.750 0.207
Na3 Na 0.265 0.250 0.987
Sr1 Sr 0.036 0.750 0.903
Sr2 Sr 0.147 0.250 0.685
Sr3 Sr 0.267 0.750 0.497
Sr4 Sr 0.351 0.250 0.316
Sr5 Sr 0.352 0.750 0.805
Sr6 Sr 0.428 0.750 0.115
Li1 Li 0.443 0.250 0.611
```

***

Number 1: calculated volume 1424.3 Å³ per cell, ΔH_f (0 K) 0.2 eV/f.u.. Number 2: calculated volume 630.3 Å³ per cell, ΔH_f (0 K) 0.6 eV/f.u.. Number 3: calculated volume 760.8 Å³ per cell, ΔH_f (0 K) 0.7 eV/f.u.. Number 4: calculated volume 602.0 Å³ per cell, ΔH_f (0 K) 0.4 eV/f.u.. Number 5: calculated volume 381.1 Å³ per cell, ΔH_f (0 K) 0.5 eV/f.u.. Number 6: calculated volume 927.9 Å³ per cell, ΔH_f (0 K) 0.4 eV/f.u..